# RbCr3O | the Alexandria database | GGA+U | relaxed
data_RbCr3O
_chemical_formula_sum 'Rb1 Cr3 O1'
_cell_length_a 4.817
_cell_length_b 4.817
_cell_length_c 4.817
_cell_angle_alpha 90.00
_cell_angle_beta 90.00
_cell_angle_gamma 90.00
_space_group_name_H-M_alt 'P m -3 m'
_space_group_IT_number 221
_space_group_name_Hall '-P 4 2 3'
loop_
_atom_site_label
_atom_site_fract_x
_atom_site_fract_y
_atom_site_fract_z
_atom_site_occupancy
Rb1 0.000 0.000 0.000 1
Cr1 0.000 0.500 0.500 1
O1 0.500 0.500 0.500 1
# **E_tot**: -26.6 eV per cell
# **Energy relative to the lowest polymorph listed for this composition**: 0.0 meV/atom